Computed, not measured: a relaxed Sc4AlAu5 crystal at the GGA-PBE level of DFT.

Structure (CIF):
```
data_Sc4AlAu5
_chemical_formula_sum 'Sc4 Al1 Au5'
_cell_length_a 3.383
_cell_length_b 3.383
_cell_length_c 16.699
_cell_angle_alpha 90.00
_cell_angle_beta 90.00
_cell_angle_gamma 90.00
_symmetry_space_group_name_H-M 'P 1'
_symmetry_Int_Tables_number 1
_symmetry_space_group_name_Hall 'P 1'
loop_
_atom_site_label
_atom_site_type_symbol
_atom_site_fract_x
_atom_site_fract_y
_atom_site_fract_z
Au1 Au 0.500 0.500 0.295
Au2 Au 0.500 0.500 0.907
Au3 Au 0.500 0.500 0.500
Au4 Au 0.500 0.500 0.705
Au5 Au 0.500 0.500 0.093
Sc1 Sc 0.000 0.000 0.809
Sc2 Sc 0.000 0.000 0.191
Sc3 Sc 0.000 0.000 0.603
Sc4 Sc 0.000 0.000 0.397
Al1 Al 0.000 0.000 0.000
```

Results
Formation energy from the elements ... -0.726 eV per atom
V ... 19.1 Å³/atom